{"formula": "PtC2", "functional": "GGA-PBE", "state": "relaxed", "spacegroup": "Fd-3m", "final_energy_ev_per_cell": -30.54, "lattice_angstrom": [[-3.195, -2.680, 1.508], [-4.169, 0.500, -1.425], [-1.803, -3.031, -2.688]], "species": ["C", "C", "C", "C", "Pt", "Pt"], "fractional_positions": [[0.125, 0.625, 0.625], [0.625, 0.625, 0.125], [0.625, 0.625, 0.625], [0.625, 0.125, 0.625], [0.250, 0.250, 0.250], [0.000, 0.000, 0.000]]}